{
  "formula": "Dy4RhAu",
  "functional": "PBE",
  "state": "optimized geometry",
  "polymorph_energy_ev_per_atom": 0.081,
  "n_ef_per_ev_fu": 7.12,
  "crystal_system": "monoclinic",
  "density_g_cm3": 9.5,
  "total_energy_ev_per_atom": -5.355,
  "delta_e_f_ev_per_atom": -0.516,
  "lattice": [[3.4596, -3.4597, 0.0000], [3.4596, 3.4597, 0.0000], [-0.0142, 0.0000, 6.9072]],
  "species": ["Dy", "Dy", "Dy", "Dy", "Rh", "Au"],
  "frac_coords": [[0.0005, 0.5002, 0.7580], [0.5002, 0.0005, 0.7580], [0.4998, 0.9995, 0.2420], [0.9995, 0.4998, 0.2420], [0.0000, 0.0000, 0.0000], [0.5000, 0.5000, 0.5000]]
}